i.
TbErTm after structural relaxation, computed with PBE-GGA.

a b c (Å): 7.591 7.591 7.591
angles (deg): 90.00 90.00 90.00
Sites, in units of the cell vectors:
Tm (0.498, 0.998, 0.502)
Tm (0.998, 0.502, 0.498)
Tm (0.502, 0.498, 0.998)
Tm (0.002, 0.002, 0.002)
Er (0.247, 0.747, 0.753)
Er (0.253, 0.253, 0.253)
Er (0.753, 0.247, 0.747)
Er (0.747, 0.753, 0.247)
Tb (0.002, 0.998, 0.498)
Tb (0.498, 0.002, 0.998)
Tb (0.502, 0.502, 0.502)
Tb (0.998, 0.498, 0.002)

Calculated values
Size of the total moment: 0.000 μB per formula unit
Crystal system: cubic

ii.
TbErTm after structural relaxation, computed with PBE-GGA.

a b c (Å): 4.973 7.013 11.641
angles (deg): 90.00 115.31 90.00
Sites, in units of the cell vectors:
Tm (0.833, 0.625, 0.583)
Tm (0.167, 0.125, 0.917)
Tm (0.833, 0.875, 0.083)
Tm (0.167, 0.375, 0.417)
Er (0.500, 0.875, 0.750)
Er (0.500, 0.125, 0.250)
Er (0.500, 0.375, 0.750)
Er (0.500, 0.625, 0.250)
Tb (0.166, 0.625, 0.916)
Tb (0.834, 0.125, 0.584)
Tb (0.834, 0.375, 0.084)
Tb (0.166, 0.875, 0.416)

Calculated values
Size of the total moment: 0.000 μB per formula unit
Crystal system: orthorhombic

Stability check: which of them is most stable? ii.

i.
TbErTm after structural relaxation, computed with PBE-GGA.

a b c (Å): 3.506 3.506 7.870
angles (deg): 102.87 102.87 90.00
Sites, in units of the cell vectors:
Tm (0.667, 0.667, 0.335)
Tb (0.000, 0.000, 0.001)
Er (0.332, 0.332, 0.665)

Calculated values
Size of the total moment: 0.000 μB per formula unit
Crystal system: tetragonal

ii.
TbErTm after structural relaxation, computed with PBE-GGA.

a b c (Å): 3.498 6.707 8.552
angles (deg): 75.98 78.17 74.88
Sites, in units of the cell vectors:
Er (0.289, 0.583, 0.380)
Er (0.569, 0.068, 0.335)
Tb (0.033, 0.446, 0.029)
Tb (0.825, 0.205, 0.686)
Tm (0.557, 0.734, 0.693)
Tm (0.302, 0.917, 0.022)

Calculated values
Size of the total moment: 0.001 μB per formula unit
Crystal system: monoclinic

iii.
TbErTm after structural relaxation, computed with PBE-GGA.

a b c (Å): 3.419 5.561 5.561
angles (deg): 120.00 90.00 90.00
Sites, in units of the cell vectors:
Er (0.166, 0.000, 0.000)
Tb (0.667, 0.333, 0.667)
Tm (0.167, 0.667, 0.333)

Calculated values
Size of the total moment: 0.000 μB per formula unit
Crystal system: hexagonal

Stability check: which of them is most stable? i.

i.
TbEr6Tm4 after structural relaxation, computed with PBE-GGA.

a b c (Å): 6.459 6.459 9.588
angles (deg): 109.68 109.68 90.00
Sites, in units of the cell vectors:
Tb (0.500, 0.500, 0.000)
Er (0.141, 0.141, 0.655)
Er (0.859, 0.486, 0.345)
Er (0.514, 0.514, 0.655)
Er (0.500, 0.000, 0.000)
Er (0.486, 0.859, 0.345)
Er (0.000, 0.500, 0.000)
Tm (0.047, 0.688, 0.735)
Tm (0.312, 0.312, 0.265)
Tm (0.688, 0.047, 0.735)
Tm (0.953, 0.953, 0.265)

Calculated values
Size of the total moment: 0.001 μB per formula unit
Crystal system: tetragonal

ii.
TbEr6Tm4 after structural relaxation, computed with PBE-GGA.

a b c (Å): 5.558 5.530 25.334
angles (deg): 90.00 90.00 120.17
Sites, in units of the cell vectors:
Er (0.161, 0.322, 0.181)
Er (0.161, 0.322, 0.319)
Er (0.828, 0.656, 0.103)
Er (0.172, 0.344, 0.603)
Er (0.839, 0.678, 0.681)
Er (0.828, 0.656, 0.397)
Er (0.506, 0.011, 0.750)
Er (0.500, 0.000, 0.500)
Er (0.172, 0.344, 0.897)
Er (0.494, 0.989, 0.250)
Er (0.839, 0.678, 0.819)
Er (0.500, 0.000, 0.000)
Tb (0.828, 0.656, 0.250)
Tb (0.172, 0.344, 0.750)
Tm (0.493, 0.987, 0.121)
Tm (0.835, 0.671, 0.958)
Tm (0.165, 0.329, 0.042)
Tm (0.165, 0.329, 0.458)
Tm (0.507, 0.013, 0.879)
Tm (0.507, 0.013, 0.621)
Tm (0.835, 0.671, 0.542)
Tm (0.493, 0.987, 0.379)

Calculated values
Size of the total moment: 0.000 μB per formula unit
Crystal system: orthorhombic

Stability check: which of them is most stable? ii.

i.
Tb6Er3Tm2 after structural relaxation, computed with PBE-GGA.

a b c (Å): 4.688 4.688 16.798
angles (deg): 98.02 98.02 90.00
Sites, in units of the cell vectors:
Tb (0.303, 0.303, 0.605)
Tb (0.379, 0.879, 0.759)
Tb (0.121, 0.621, 0.241)
Tb (0.697, 0.697, 0.395)
Tb (0.879, 0.379, 0.759)
Tb (0.621, 0.121, 0.241)
Er (0.801, 0.801, 0.602)
Er (0.000, 0.000, 0.000)
Er (0.199, 0.199, 0.398)
Tm (0.546, 0.546, 0.092)
Tm (0.454, 0.454, 0.908)

Calculated values
Size of the total moment: 0.000 μB per formula unit
Crystal system: tetragonal

ii.
Tb6Er3Tm2 after structural relaxation, computed with PBE-GGA.

a b c (Å): 3.527 3.527 31.624
angles (deg): 86.80 86.80 60.00
Sites, in units of the cell vectors:
Er (0.727, 0.727, 0.818)
Er (0.000, 0.000, 0.000)
Er (0.273, 0.273, 0.182)
Tb (0.818, 0.818, 0.546)
Tb (0.636, 0.636, 0.091)
Tb (0.909, 0.909, 0.273)
Tb (0.364, 0.364, 0.909)
Tb (0.091, 0.091, 0.727)
Tb (0.182, 0.182, 0.454)
Tm (0.454, 0.454, 0.637)
Tm (0.546, 0.546, 0.363)

Calculated values
Size of the total moment: 0.000 μB per formula unit
Crystal system: trigonal

Stability check: which of them is most stable? ii.

i.
Tb7Er2Tm2 after structural relaxation, computed with PBE-GGA.

a b c (Å): 5.987 11.178 7.953
angles (deg): 45.35 105.84 112.85
Sites, in units of the cell vectors:
Tm (0.199, 0.416, 0.000)
Tm (0.801, 0.584, 0.000)
Tb (0.410, 0.768, 0.000)
Tb (0.824, 0.057, 0.533)
Tb (0.824, 0.590, 0.467)
Tb (0.000, 0.000, 0.000)
Tb (0.590, 0.232, 0.000)
Tb (0.176, 0.943, 0.467)
Tb (0.176, 0.410, 0.533)
Er (0.500, 0.217, 0.565)
Er (0.500, 0.783, 0.435)

Calculated values
Size of the total moment: 0.007 μB per formula unit
Crystal system: monoclinic

ii.
Tb7Er2Tm2 after structural relaxation, computed with PBE-GGA.

a b c (Å): 6.762 9.472 6.762
angles (deg): 90.01 122.34 89.99
Sites, in units of the cell vectors:
Tb (0.000, 0.686, 0.500)
Tb (0.500, 0.814, 0.500)
Tb (0.500, 0.686, 0.000)
Tb (0.000, 0.314, 0.500)
Tb (0.000, 0.000, 0.000)
Tb (0.500, 0.314, 0.000)
Tb (0.500, 0.186, 0.500)
Er (0.750, 0.500, 0.750)
Er (0.250, 0.500, 0.250)
Tm (0.727, 0.000, 0.273)
Tm (0.273, 0.000, 0.727)

Calculated values
Size of the total moment: 0.000 μB per formula unit
Crystal system: orthorhombic

Stability check: which of them is most stable? i.

i.
TbEr4Tm7 after structural relaxation, computed with PBE-GGA.

a b c (Å): 5.753 11.370 6.616
angles (deg): 83.49 64.23 75.35
Sites, in units of the cell vectors:
Tm (0.635, 0.499, 0.232)
Tm (0.061, 0.677, 0.201)
Tm (0.500, 0.000, 0.000)
Tm (0.939, 0.323, 0.799)
Tm (0.212, 0.076, 0.500)
Tm (0.788, 0.924, 0.500)
Tm (0.365, 0.501, 0.768)
Er (0.754, 0.682, 0.810)
Er (0.246, 0.318, 0.190)
Er (0.365, 0.774, 0.495)
Er (0.635, 0.226, 0.505)
Tb (0.000, 0.000, 0.000)

Calculated values
Size of the total moment: 0.012 μB per formula unit
Crystal system: monoclinic

ii.
TbEr4Tm7 after structural relaxation, computed with PBE-GGA.

a b c (Å): 6.700 8.536 8.875
angles (deg): 83.96 94.99 47.97
Sites, in units of the cell vectors:
Tm (0.296, 0.812, 0.613)
Tm (0.978, 0.318, 0.643)
Tm (0.500, 0.000, 0.000)
Tm (0.022, 0.682, 0.357)
Tm (0.704, 0.188, 0.387)
Tm (0.733, 0.517, 0.950)
Tm (0.267, 0.483, 0.050)
Er (0.781, 0.836, 0.688)
Er (0.445, 0.361, 0.712)
Er (0.219, 0.164, 0.312)
Er (0.555, 0.639, 0.288)
Tb (0.000, 0.000, 0.000)

Calculated values
Size of the total moment: 0.000 μB per formula unit
Crystal system: triclinic

Stability check: which of them is most stable? ii.

i.
Tb3Er2Tm5 after structural relaxation, computed with PBE-GGA.

a b c (Å): 9.361 9.350 10.959
angles (deg): 125.65 125.68 68.54
Sites, in units of the cell vectors:
Tm (0.472, 0.722, 0.443)
Tm (0.027, 0.777, 0.554)
Tm (0.144, 0.393, 0.274)
Tm (0.528, 0.278, 0.557)
Tm (0.271, 0.521, 0.042)
Tm (0.856, 0.607, 0.726)
Tm (0.370, 0.119, 0.726)
Tm (0.973, 0.223, 0.446)
Tm (0.630, 0.881, 0.274)
Tm (0.729, 0.479, 0.958)
Er (0.533, 0.278, 0.262)
Er (0.229, 0.984, 0.262)
Er (0.467, 0.722, 0.738)
Er (0.771, 0.016, 0.738)
Tb (0.767, 0.017, 0.034)
Tb (0.731, 0.477, 0.254)
Tb (0.269, 0.523, 0.746)
Tb (0.233, 0.983, 0.966)
Tb (0.977, 0.222, 0.746)
Tb (0.023, 0.778, 0.254)

Calculated values
Size of the total moment: 0.000 μB per formula unit
Crystal system: monoclinic

ii.
Tb3Er2Tm5 after structural relaxation, computed with PBE-GGA.

a b c (Å): 6.177 10.955 10.955
angles (deg): 100.00 73.63 73.63
Sites, in units of the cell vectors:
Er (0.601, 0.056, 0.743)
Er (0.899, 0.257, 0.944)
Er (0.101, 0.743, 0.056)
Er (0.399, 0.944, 0.257)
Tm (0.598, 0.246, 0.558)
Tm (0.902, 0.442, 0.754)
Tm (0.750, 0.500, 0.500)
Tm (0.498, 0.252, 0.252)
Tm (0.402, 0.754, 0.442)
Tm (0.250, 0.500, 0.500)
Tm (0.502, 0.748, 0.748)
Tm (0.098, 0.558, 0.246)
Tm (0.998, 0.252, 0.252)
Tm (0.002, 0.748, 0.748)
Tb (0.750, 0.000, 0.000)
Tb (0.841, 0.911, 0.408)
Tb (0.341, 0.408, 0.911)
Tb (0.250, 0.000, 0.000)
Tb (0.159, 0.089, 0.592)
Tb (0.659, 0.592, 0.089)

Calculated values
Size of the total moment: 0.000 μB per formula unit
Crystal system: orthorhombic

Stability check: which of them is most stable? i.

i.
Tb3Er4Tm4 after structural relaxation, computed with PBE-GGA.

a b c (Å): 3.491 11.052 10.726
angles (deg): 121.01 99.34 90.00
Sites, in units of the cell vectors:
Tb (0.891, 0.891, 0.782)
Tb (0.109, 0.109, 0.218)
Tb (0.000, 0.500, 0.000)
Er (0.500, 0.793, 0.000)
Er (0.780, 0.280, 0.561)
Er (0.500, 0.207, 0.000)
Er (0.220, 0.720, 0.439)
Tm (0.329, 0.571, 0.658)
Tm (0.671, 0.429, 0.342)
Tm (0.329, 0.087, 0.658)
Tm (0.671, 0.913, 0.342)

Calculated values
Size of the total moment: 0.000 μB per formula unit
Crystal system: orthorhombic

ii.
Tb3Er4Tm4 after structural relaxation, computed with PBE-GGA.

a b c (Å): 3.443 5.544 17.914
angles (deg): 81.08 84.46 89.99
Sites, in units of the cell vectors:
Tm (0.681, 0.181, 0.638)
Tm (0.454, 0.454, 0.091)
Tm (0.319, 0.819, 0.362)
Tm (0.546, 0.546, 0.909)
Tb (0.000, 0.000, 0.000)
Tb (0.864, 0.363, 0.273)
Tb (0.136, 0.637, 0.727)
Er (0.267, 0.267, 0.467)
Er (0.590, 0.091, 0.819)
Er (0.733, 0.734, 0.533)
Er (0.410, 0.909, 0.181)

Calculated values
Size of the total moment: 0.000 μB per formula unit
Crystal system: triclinic

Stability check: which of them is most stable? ii.

i.
Tb3Er2Tm2 after structural relaxation, computed with PBE-GGA.

a b c (Å): 3.468 8.408 8.784
angles (deg): 118.47 101.38 90.00
Sites, in units of the cell vectors:
Tb (0.788, 0.200, 0.576)
Tb (0.000, 0.500, 0.000)
Tb (0.212, 0.800, 0.424)
Tm (0.854, 0.676, 0.708)
Tm (0.146, 0.324, 0.292)
Er (0.565, 0.910, 0.130)
Er (0.435, 0.090, 0.870)

Calculated values
Size of the total moment: 0.000 μB per formula unit
Crystal system: monoclinic

ii.
Tb3Er2Tm2 after structural relaxation, computed with PBE-GGA.

a b c (Å): 3.511 11.662 6.090
angles (deg): 69.77 73.17 98.64
Sites, in units of the cell vectors:
Er (0.857, 0.142, 0.429)
Er (0.143, 0.858, 0.571)
Tb (0.571, 0.429, 0.286)
Tb (0.000, 0.000, 0.000)
Tb (0.429, 0.571, 0.714)
Tm (0.713, 0.285, 0.858)
Tm (0.287, 0.715, 0.142)

Calculated values
Size of the total moment: 0.000 μB per formula unit
Crystal system: triclinic

Stability check: which of them is most stable? ii.

i.
Tb4Er5Tm after structural relaxation, computed with PBE-GGA.

a b c (Å): 6.183 7.812 7.812
angles (deg): 80.99 66.69 66.69
Sites, in units of the cell vectors:
Er (0.803, 0.377, 0.920)
Er (0.683, 0.000, 0.000)
Er (0.100, 0.623, 0.080)
Er (0.723, 0.080, 0.377)
Er (0.180, 0.920, 0.623)
Tm (0.219, 0.000, 0.000)
Tb (0.107, 0.300, 0.388)
Tb (0.495, 0.612, 0.300)
Tb (0.407, 0.388, 0.700)
Tb (0.795, 0.700, 0.612)

Calculated values
Size of the total moment: 0.000 μB per formula unit
Crystal system: tetragonal

ii.
Tb4Er5Tm after structural relaxation, computed with PBE-GGA.

a b c (Å): 3.488 10.872 8.673
angles (deg): 89.99 101.54 90.00
Sites, in units of the cell vectors:
Tb (0.653, 0.250, 0.307)
Tb (0.972, 0.250, 0.944)
Tb (0.347, 0.750, 0.693)
Tb (0.028, 0.750, 0.056)
Er (0.174, 0.553, 0.347)
Er (0.173, 0.947, 0.347)
Er (0.826, 0.447, 0.653)
Er (0.827, 0.053, 0.653)
Er (0.500, 0.500, 0.000)
Tm (0.500, 0.000, 0.000)

Calculated values
Size of the total moment: 0.000 μB per formula unit
Crystal system: triclinic

Stability check: which of them is most stable? ii.